No. 1
The following is a DFT calculation (PBE) of CaMgSCl2 after structural relaxation.

The structure in extended XYZ format:
```
5
Lattice="-3.994 -3.125 -0.183 2.100 -2.895 3.600 -2.553 3.033 3.928" Properties=species:S:1:pos:R:3 pbc="T T T"
Mg -2.224 -1.494 3.672
Ca 0.000 0.000 0.000
S -1.276 1.516 1.964
Cl 1.050 -1.448 1.800
Cl -1.997 -1.563 -0.092
```

## Properties
The calculation puts the density of states at the Fermi level at 0.72 states/eV per cell. As for the energy above the most stable polymorph in this dataset: 497 meV/atom. The value obtained for the total energy is -17.02 eV for the cell shown. The crystal system is tetragonal. Its total magnetization is 0.00 μB per formula unit. As for the space group: P4/mmm.


No. 2
The following is a DFT calculation (PBE) of Ca2MgSbCl after structural relaxation.

The structure in extended XYZ format:
```
5
Lattice="-3.367 3.550 -3.455 -2.470 -4.411 -2.125 -4.154 0.251 4.308" Properties=species:S:1:pos:R:3 pbc="T T T"
Sb 0.000 0.000 0.000
Ca -2.077 0.126 2.154
Ca -1.684 1.775 -1.727
Mg -1.235 -2.205 -1.063
Cl -4.996 -0.305 -0.636
```

## Properties
The calculation puts the density of states at the Fermi level at 3.51 states/eV per cell. The value obtained for the total energy is -13.87 eV for the cell shown. The crystal system is tetragonal. Its total magnetization is 0.00 μB per formula unit. As for the space group: P4/mmm.


no.,uncorrected formation energy (eV/atom),calculated density (Mg/m³)
1,-1.12,1.93
2,-0.46,2.21